Record 1
## Pm3Cu2Ru (GGA-PBE)

Data for an optimized crystal structure of Pm3Cu2Ru.

Unit cell a=11.735 b=4.201 c=11.606 alpha=90.00 beta=90.00 gamma=90.00
Element x y z (fractional)
Pm: 0.052 0.250 0.124
Pm: 0.119 0.750 0.554
Pm: 0.225 0.250 0.793
Pm: 0.275 0.750 0.293
Pm: 0.381 0.250 0.054
Pm: 0.448 0.750 0.624
Pm: 0.552 0.250 0.376
Pm: 0.619 0.750 0.946
Pm: 0.725 0.250 0.707
Pm: 0.775 0.750 0.207
Pm: 0.881 0.250 0.446
Pm: 0.948 0.750 0.876
Cu: 0.015 0.750 0.310
Cu: 0.194 0.750 0.999
Cu: 0.306 0.250 0.499
Cu: 0.485 0.250 0.810
Cu: 0.515 0.750 0.190
Cu: 0.694 0.750 0.501
Cu: 0.806 0.250 0.001
Cu: 0.985 0.250 0.690
Ru: 0.128 0.250 0.367
Ru: 0.372 0.750 0.867
Ru: 0.628 0.250 0.133
Ru: 0.872 0.750 0.633

Properties
excess energy over the best structure of this formula in the dataset	0.004	eV/atom
calculated formation energy	-0.18	eV/atom
VASP energy	-131.316	eV per cell
space group	No. 62
mass density	7.7	g/cm3
total moment	0.000	μB per atom
crystal system	orthorhombic


Record 2
## KLa2Cl2 (GGA-PBE)

Data for an optimized crystal structure of KLa2Cl2.

Unit cell a=7.329 b=7.329 c=7.329 alpha=138.89 beta=138.89 gamma=59.54
Element x y z (fractional)
K: 0.000 0.000 0.000
La: 0.389 0.389 0.000
La: 0.611 0.611 0.000
Cl: 0.250 0.750 0.500
Cl: 0.750 0.250 0.500

Properties
VASP energy	-18.861	eV per cell
space group	No. 139
mass density	3.8	g/cm3
ΔE_f (raw)	-0.843	eV per atom
total moment	0.118	μB per atom
crystal system	tetragonal


Record 3
## W3CBr (GGA-PBE)

Data for an optimized crystal structure of W3CBr.

Unit cell a=4.241 b=4.241 c=4.241 alpha=90.00 beta=90.00 gamma=90.00
Element x y z (fractional)
W: 0.000 0.000 0.500
W: 0.000 0.500 0.000
W: 0.500 0.000 0.000
C: 0.000 0.000 0.000
Br: 0.500 0.500 0.500

Properties
excess energy over the best structure of this formula in the dataset	0.000	eV/atom
VASP energy	-44.231	eV per cell
space group	No. 221
mass density	14.0	g/cm3
ΔE_f (raw)	1.105	eV per atom
total moment	0.000	μB per atom
crystal system	cubic